Computed, not measured: crystalline Na5Pr3F12 at its relaxed geometry at the PBE level of DFT.

Output
**Formation energy from raw total energies**: -3.119 eV/atom
**Total DFT energy (no corrections)**: -5.29 eV per atom
**Spin magnetization**: 0.04 μB/atom

Cell lengths 11.8935, 11.8935, 11.8935 Å; angles 109.47, 109.47, 109.47 degrees
With the nearest neighbours (Å) after each atom.
Fractional positions:
1 Na 0.0000 0.0000 0.0000  6 F 2.35
2 Na 0.0000 0.0000 0.5000  6 F 2.35
3 Na 0.0000 0.5000 0.0000  6 F 2.35
4 Na 0.0000 0.5000 0.5000  6 F 2.35
5 Na 0.1250 0.7500 0.8750  4 F 2.22
6 Na 0.1250 0.8750 0.2500  4 F 2.22
7 Na 0.2500 0.1250 0.8750  4 F 2.22
8 Na 0.2500 0.6250 0.3750  4 F 2.22
9 Na 0.3750 0.2500 0.6250  4 F 2.22
10 Na 0.3750 0.6250 0.7500  4 F 2.22
11 Na 0.5000 0.0000 0.0000  6 F 2.35
12 Na 0.5000 0.0000 0.5000  6 F 2.35
13 Na 0.5000 0.5000 0.0000  6 F 2.35
14 Na 0.5000 0.5000 0.5000  6 F 2.35
15 Na 0.6250 0.3750 0.2500  4 F 2.22
16 Na 0.6250 0.7500 0.3750  4 F 2.22
17 Na 0.7500 0.3750 0.6250  4 F 2.22
18 Na 0.7500 0.8750 0.1250  4 F 2.22
19 Na 0.8750 0.1250 0.7500  4 F 2.22
20 Na 0.8750 0.2500 0.1250  4 F 2.22
21 Pr 0.1250 0.2500 0.3750  8 F 2.50-2.52
22 Pr 0.1250 0.3750 0.7500  8 F 2.50-2.52
23 Pr 0.2500 0.3750 0.1250  8 F 2.50-2.52
24 Pr 0.2500 0.8750 0.6250  8 F 2.50-2.52
25 Pr 0.3750 0.1250 0.2500  8 F 2.50-2.52
26 Pr 0.3750 0.7500 0.1250  8 F 2.50-2.52
27 Pr 0.6250 0.2500 0.8750  8 F 2.50-2.52
28 Pr 0.6250 0.8750 0.7500  8 F 2.50-2.52
29 Pr 0.7500 0.1250 0.3750  8 F 2.50-2.52
30 Pr 0.7500 0.6250 0.8750  8 F 2.50-2.52
31 Pr 0.8750 0.6250 0.2500  8 F 2.50-2.52
32 Pr 0.8750 0.7500 0.6250  8 F 2.50-2.52
33 F 0.0555 0.2251 0.1411  2 Na 2.22-2.35
34 F 0.0555 0.3304 0.9143  2 Na 2.22-2.35
35 F 0.0840 0.7251 0.6696  2 Na 2.22-2.35
36 F 0.0840 0.8589 0.4143  2 Na 2.22-2.35
37 F 0.0857 0.6411 0.4160  2 Na 2.22-2.35
38 F 0.0857 0.9445 0.6696  2 Na 2.22-2.35
39 F 0.1411 0.0555 0.2251  2 Na 2.22-2.35
40 F 0.1411 0.5857 0.9160  2 Na 2.22-2.35
41 F 0.1696 0.2251 0.5840  2 Na 2.22-2.35
42 F 0.1696 0.4445 0.5857  2 Na 2.22-2.35
43 F 0.2251 0.1411 0.0555  2 Na 2.22-2.35
44 F 0.2251 0.5840 0.1696  2 Na 2.22-2.35
45 F 0.2749 0.3304 0.9160  2 Na 2.22-2.35
46 F 0.2749 0.4445 0.3589  2 Na 2.22-2.35
47 F 0.3304 0.9143 0.0555  2 Na 2.22-2.35
48 F 0.3304 0.9160 0.2749  2 Na 2.22-2.35
49 F 0.3589 0.2749 0.4445  2 Na 2.22-2.35
50 F 0.3589 0.5840 0.9143  2 Na 2.22-2.35
51 F 0.4143 0.0840 0.8589  2 Na 2.22-2.35
52 F 0.4143 0.8304 0.5555  2 Na 2.22-2.35
53 F 0.4160 0.0857 0.6411  2 Na 2.22-2.35
54 F 0.4160 0.8304 0.7749  2 Na 2.22-2.35
55 F 0.4445 0.3589 0.2749  2 Na 2.22-2.35
56 F 0.4445 0.5857 0.1696  2 Na 2.22-2.35
57 F 0.5555 0.4143 0.8304  2 Na 2.22-2.35
58 F 0.5555 0.6411 0.7251  2 Na 2.22-2.35
59 F 0.5840 0.1696 0.2251  2 Na 2.22-2.35
60 F 0.5840 0.9143 0.3589  2 Na 2.22-2.35
61 F 0.5857 0.1696 0.4445  2 Na 2.22-2.35
62 F 0.5857 0.9160 0.1411  2 Na 2.22-2.35
63 F 0.6411 0.4160 0.0857  2 Na 2.22-2.35
64 F 0.6411 0.7251 0.5555  2 Na 2.22-2.35
65 F 0.6696 0.0840 0.7251  2 Na 2.22-2.35
66 F 0.6696 0.0857 0.9445  2 Na 2.22-2.35
67 F 0.7251 0.5555 0.6411  2 Na 2.22-2.35
68 F 0.7251 0.6696 0.0840  2 Na 2.22-2.35
69 F 0.7749 0.4160 0.8304  2 Na 2.22-2.35
70 F 0.7749 0.8589 0.9445  2 Na 2.22-2.35
71 F 0.8304 0.5555 0.4143  2 Na 2.22-2.35
72 F 0.8304 0.7749 0.4160  2 Na 2.22-2.35
73 F 0.8589 0.4143 0.0840  2 Na 2.22-2.35
74 F 0.8589 0.9445 0.7749  2 Na 2.22-2.35
75 F 0.9143 0.0555 0.3304  2 Na 2.22-2.35
76 F 0.9143 0.3589 0.5840  2 Na 2.22-2.35
77 F 0.9160 0.1411 0.5857  2 Na 2.22-2.35
78 F 0.9160 0.2749 0.3304  2 Na 2.22-2.35
79 F 0.9445 0.6696 0.0857  2 Na 2.22-2.35
80 F 0.9445 0.7749 0.8589  2 Na 2.22-2.35


Computed, not measured: crystalline TbCuGe2Os at its relaxed geometry at the PBE level of DFT.

Output
**Formation enthalpy at 0 K**: -0.349 eV per atom
**Total DFT energy (no corrections)**: -6.19 eV per atom
**Spin magnetization**: 0.00 μB/atom

Cell lengths 6.0128, 6.0128, 6.0128 Å; angles 140.22, 140.22, 57.52 degrees
With the nearest neighbours (Å) after each atom.
Fractional positions:
1 Tb 0.0000 0.0000 0.0000  8 Ge 3.16, 4 Os 3.34, 4 Cu 3.34
2 Cu 0.7500 0.2500 0.5000  4 Ge 2.46
3 Ge 0.3798 0.3798 0.0000  2 Os 2.46, 2 Cu 2.46, 1 Ge 2.53
4 Ge 0.6202 0.6202 0.0000  2 Os 2.46, 2 Cu 2.46, 1 Ge 2.53
5 Os 0.2500 0.7500 0.5000  4 Ge 2.46